Record 1
AlAgSe2 (SCAN, PBEsol geometry); formation energy (no corrections) = -1.7 eV/f.u.
1.0
3.621 0.000 0.000
0.000 3.621 0.000
0.000 0.000 6.418
Ag Se Al
1 2 1
Cartesian
0.000 0.000 2.192 Ag
0.000 0.000 5.893 Se
1.811 1.811 2.775 Se
1.811 1.811 5.185 Al

***

Record 2
AlSiAg2 (SCAN, PBEsol geometry); formation energy (no corrections) = 0.6 eV/f.u.
1.0
-0.699 2.801 -0.503
-1.591 0.712 -2.356
-7.959 0.173 3.636
Si Al Ag
1 1 2
Cartesian
0.000 0.000 0.000 Si
-5.125 1.843 0.388 Al
-2.556 0.924 0.189 Ag
-7.694 2.763 0.588 Ag

***

Record 3
AlSiAg2 (SCAN, PBEsol geometry); formation energy (no corrections) = 1.3 eV/f.u.
1.0
4.532 0.000 0.000
2.266 3.925 0.000
2.266 1.308 3.701
Si Al Ag
1 1 2
Cartesian
2.266 1.308 0.925 Si
4.532 2.617 1.850 Al
0.000 0.000 0.000 Ag
6.799 3.925 2.776 Ag